{
  "formula": "LaTmTh2Sb4",
  "functional": "PBE-GGA",
  "state": "optimized geometry",
  "cell": [[7.778, 0.000, 0.000], [0.000, 4.501, 0.000], [-2.608, 0.000, 7.334]],
  "species": ["La", "Tm", "Th", "Th", "Sb", "Sb", "Sb", "Sb"],
  "frac_coords": [[0.000, 0.000, 0.000], [0.000, 0.500, 0.500], [0.500, 0.000, 0.500], [0.500, 0.500, 0.000], [0.244, 0.000, 0.741], [0.250, 0.500, 0.257], [0.750, 0.500, 0.743], [0.756, 0.000, 0.259]],
  "formation_energy_uncorrected_kj_per_mol_fu": -797,
  "space_group": "P2/m, No. 10",
  "total_magnetization_mub_per_atom": 0.00,
  "dft_energy_ev_per_cell": -48.987
}

{
  "formula": "Nd6Tl2Os",
  "functional": "PBE-GGA",
  "state": "optimized geometry",
  "cell": [[4.001, 0.000, 0.000], [0.000, 7.643, 4.465], [0.000, -7.643, 4.465]],
  "species": ["Nd", "Nd", "Nd", "Nd", "Nd", "Nd", "Tl", "Tl", "Os"],
  "frac_coords": [[0.000, 0.000, 0.000], [0.000, 0.515, 0.748], [0.000, 0.748, 0.515], [0.500, 0.141, 0.751], [0.500, 0.357, 0.357], [0.500, 0.751, 0.141], [0.000, 0.083, 0.420], [0.000, 0.420, 0.083], [0.500, 0.768, 0.768]],
  "de_polymorph_mev_per_atom": 0,
  "space_group": "Amm2, No. 38",
  "formation_enthalpy_0k_ev_per_atom": -0.23,
  "total_magnetization_mub_per_atom": 0.00,
  "dft_energy_ev_per_cell": -46.605
}